1.
Here is a geometry-optimized ScInTc2 structure from Alexandria. Energies are from PBE.

Values from the calculation:
Final energy   -28.55 eV/cell
Energy of formation   313 meV/atom
Polymorph energy (0 for the lowest one)   0.484 eV/atom

abc: 2.894 2.894 8.501
angles: 90.00 90.00 90.00
Space group P4/mmm (No. 123)
Unique sites:
Sc 0.000 0.000 0.000 x1
In 0.000 0.000 0.500 x1
Tc 0.500 0.500 0.252 x2



2.
Here is a geometry-optimized ScInTc2 structure from Alexandria. Energies are from PBE.

Values from the calculation:
Final energy   -30.49 eV/cell
Energy of formation   -171 meV/atom
Polymorph energy (0 for the lowest one)   0.000 eV/atom

abc: 3.025 3.025 7.970
angles: 90.00 90.00 90.00
Space group P4mm (No. 99)
Unique sites:
Sc 0.000 0.000 0.000 x1
In 0.500 0.500 0.689 x1
Tc 0.000 0.000 0.425 x1
Tc 0.500 0.500 0.248 x1



3.
Here is a geometry-optimized ScInTc2 structure from Alexandria. Energies are from PBE.

Values from the calculation:
Final energy   -85.92 eV/cell
Energy of formation   290 meV/atom
Polymorph energy (0 for the lowest one)   0.461 eV/atom

abc: 3.0384 3.0384 26.5469
angles: 90.00 90.00 120.00
Space group R-3m (No. 166, hexagonal axes)
Unique sites:
Sc 0.0000 0.0000 0.0000 x3
In 0.0000 0.0000 0.5000 x3
Tc 0.0000 0.0000 0.2509 x6



4.
Here is a geometry-optimized ScInTc2 structure from Alexandria. Energies are from PBE.

Values from the calculation:
Final energy   -29.29 eV/cell
Energy of formation   129 meV/atom
Polymorph energy (0 for the lowest one)   0.300 eV/atom

abc: 2.935 4.583 5.353
angles: 90.00 97.01 90.00
Space group P2/m (No. 10)
Unique sites:
Sc 0.000 0.000 0.000 x1
In 0.500 0.000 0.500 x1
Tc 0.298 0.500 0.785 x2



5.
Here is a geometry-optimized ScInTc2 structure from Alexandria. Energies are from PBE.

Values from the calculation:
Final energy   -60.15 eV/cell
Energy of formation   -69 meV/atom
Polymorph energy (0 for the lowest one)   0.102 eV/atom

abc: 3.299 4.561 9.313
angles: 90.00 90.00 90.00
Space group Imm2 (No. 44)
Unique sites:
Sc 0.000 0.000 0.000 x2
In 0.000 0.500 0.223 x2
Tc 0.000 0.000 0.467 x2
Tc 0.000 0.500 0.755 x2



6.
Here is a geometry-optimized Sc4InTc structure from Alexandria. Energies are from PBE.

Values from the calculation:
Final energy   -159.94 eV/cell
Energy of formation   -259 meV/atom
Polymorph energy (0 for the lowest one)   0.000 eV/atom

abc: 8.200 12.153 5.820
angles: 90.00 107.91 90.00
Space group C2/c (No. 15)
Unique sites:
Sc 0.107 0.169 0.051 x8
Sc 0.220 0.418 0.381 x8
In 0.000 0.374 0.750 x4
Tc 0.000 0.001 0.250 x4



7.
Here is a geometry-optimized ScInTc2 structure from Alexandria. Energies are from PBE.

Values from the calculation:
Final energy   -108.55 eV/cell
Energy of formation   666 meV/atom
Polymorph energy (0 for the lowest one)   0.837 eV/atom

abc: 7.344 7.344 5.559
angles: 90.00 90.00 90.00
Space group I-42d (No. 122)
Unique sites:
Sc 0.000 0.000 0.000 x4
In 0.000 0.000 0.500 x4
Tc 0.249 0.250 0.125 x8



8.
Here is a geometry-optimized Sc3In2Tc structure from Alexandria. Energies are from PBE.

Values from the calculation:
Final energy   -149.62 eV/cell
Energy of formation   -428 meV/atom

abc: 4.842 14.421 7.069
angles: 90.00 90.00 90.00
Space group Cmmm (No. 65)
Unique sites:
Sc 0.000 0.000 0.232 x4
Sc 0.000 0.324 0.219 x8
In 0.000 0.164 0.500 x4
In 0.000 0.500 0.000 x2
In 0.000 0.500 0.500 x2
Tc 0.000 0.163 0.000 x4



9.
Here is a geometry-optimized ScInTc3 structure from Alexandria. Energies are from PBE.

Values from the calculation:
Final energy   -30.91 eV/cell
Energy of formation   1851 meV/atom
Polymorph energy (0 for the lowest one)   0.292 eV/atom

abc: 4.857 4.857 4.857
angles: 90.00 90.00 90.00
Space group Pm-3m (No. 221)
Unique sites:
Sc 0.000 0.000 0.000 x1
In 0.500 0.500 0.500 x1
Tc 0.000 0.500 0.500 x3



10.
Here is a geometry-optimized ThScInTc structure from Alexandria. Energies are from PBE.

Values from the calculation:
Final energy   -109.10 eV/cell
Energy of formation   -105 meV/atom
Polymorph energy (0 for the lowest one)   0.180 eV/atom

abc: 7.158 7.158 7.158
angles: 90.00 90.00 90.00
Space group F-43m (No. 216)
Unique sites:
Th 0.000 0.000 0.000 x4
Sc 0.000 0.000 0.500 x4
In 0.250 0.250 0.250 x4
Tc 0.250 0.250 0.750 x4



11.
Here is a geometry-optimized ThScInTc structure from Alexandria. Energies are from PBE.

Values from the calculation:
Final energy   -27.99 eV/cell
Energy of formation   -285 meV/atom
Polymorph energy (0 for the lowest one)   0.000 eV/atom

abc: 3.382 3.382 8.056
angles: 90.00 90.00 90.00
Space group P4mm (No. 99)
Unique sites:
Th 0.000 0.000 0.000 x1
Sc 0.000 0.000 0.590 x1
In 0.500 0.500 0.328 x1
Tc 0.500 0.500 0.773 x1



12.
Here is a geometry-optimized ScTiInTc structure from Alexandria. Energies are from PBE.

Values from the calculation:
Final energy   -113.37 eV/cell
Energy of formation   -253 meV/atom

abc: 6.605 6.605 6.605
angles: 90.00 90.00 90.00
Space group F-43m (No. 216)
Unique sites:
Sc 0.000 0.000 0.000 x4
Ti 0.000 0.000 0.500 x4
In 0.250 0.250 0.750 x4
Tc 0.250 0.250 0.250 x4



13.
Here is a geometry-optimized TmScInTc structure from Alexandria. Energies are from PBE.

Values from the calculation:
Final energy   -99.33 eV/cell
Energy of formation   -231 meV/atom

abc: 6.928 6.928 6.928
angles: 90.00 90.00 90.00
Space group F-43m (No. 216)
Unique sites:
Tm 0.000 0.000 0.000 x4
Sc 0.000 0.000 0.500 x4
In 0.250 0.250 0.750 x4
Tc 0.250 0.250 0.250 x4



14.
Here is a geometry-optimized Sc2VInTc structure from Alexandria. Energies are from PBE.

Values from the calculation:
Final energy   -28.14 eV/cell
Energy of formation   1348 meV/atom

abc: 5.229 5.229 4.932
angles: 90.00 90.00 90.00
Space group P4/mmm (No. 123)
Unique sites:
Sc 0.000 0.500 0.000 x2
V 0.000 0.000 0.500 x1
In 0.500 0.500 0.000 x1
Tc 0.500 0.500 0.500 x1



15.
Here is a geometry-optimized ScVInTc structure from Alexandria. Energies are from PBE.

Values from the calculation:
Final energy   -115.05 eV/cell
Energy of formation   -52 meV/atom

abc: 6.503 6.503 6.503
angles: 90.00 90.00 90.00
Space group F-43m (No. 216)
Unique sites:
Sc 0.000 0.000 0.000 x4
V 0.000 0.000 0.500 x4
In 0.250 0.250 0.250 x4
Tc 0.250 0.250 0.750 x4



16.
Here is a geometry-optimized ScZnInTc structure from Alexandria. Energies are from PBE.

Values from the calculation:
Final energy   -83.60 eV/cell
Energy of formation   -47 meV/atom

abc: 6.553 6.553 6.553
angles: 90.00 90.00 90.00
Space group F-43m (No. 216)
Unique sites:
Sc 0.000 0.000 0.000 x4
Zn 0.250 0.250 0.250 x4
In 0.250 0.250 0.750 x4
Tc 0.000 0.000 0.500 x4



17.
Here is a geometry-optimized ZrScInTc structure from Alexandria. Energies are from PBE.

Values from the calculation:
Final energy   -116.35 eV/cell
Energy of formation   -276 meV/atom

abc: 6.805 6.805 6.805
angles: 90.00 90.00 90.00
Space group F-43m (No. 216)
Unique sites:
Zr 0.000 0.000 0.000 x4
Sc 0.000 0.000 0.500 x4
In 0.250 0.250 0.250 x4
Tc 0.250 0.250 0.750 x4



18.
Here is a geometry-optimized ScIn2Te structure from Alexandria. Energies are from PBE.

Values from the calculation:
Final energy   -45.65 eV/cell

abc: 3.8001 3.8001 26.1506
angles: 90.00 90.00 120.00
Space group R-3m (No. 166, hexagonal axes)
Unique sites:
Sc 0.0000 0.0000 0.0000 x3
In 0.0000 0.0000 0.2481 x6
Te 0.0000 0.0000 0.5000 x3



19.
Here is a geometry-optimized Sc2In2Te structure from Alexandria. Energies are from PBE.

Values from the calculation:
Final energy   -45.30 eV/cell
Polymorph energy (0 for the lowest one)   0.244 eV/atom

abc: 7.974 7.974 3.952
angles: 90.00 90.00 90.00
Space group P4/mbm (No. 127)
Unique sites:
Sc 0.174 0.326 0.000 x4
In 0.127 0.627 0.500 x4
Te 0.000 0.000 0.500 x2



20.
Here is a geometry-optimized Sc2InTe5 structure from Alexandria. Energies are from PBE.

Values from the calculation:
Final energy   -147.60 eV/cell

abc: 5.946 14.382 13.241
angles: 90.00 90.00 90.00
Space group Cmcm (No. 63)
Unique sites:
Sc 0.000 0.165 0.058 x8
In 0.000 0.205 0.750 x4
Te 0.000 0.033 0.608 x8
Te 0.000 0.264 0.250 x4
Te 0.000 0.328 0.570 x8



21.
Here is a geometry-optimized Sc4InTe structure from Alexandria. Energies are from PBE.

Values from the calculation:
Final energy   -125.58 eV/cell

abc: 8.362 8.362 8.362
angles: 90.00 90.00 90.00
Space group F-43m (No. 216)
Unique sites:
Sc 0.124 0.124 0.376 x16
In 0.250 0.250 0.750 x4
Te 0.000 0.000 0.000 x4



22.
Here is a geometry-optimized ScInTe structure from Alexandria. Energies are from PBE.

Values from the calculation:
Final energy   -13.52 eV/cell

abc: 3.8738 3.8738 6.5151
angles: 90.00 90.00 120.00
Space group P3m1 (No. 156)
Unique sites:
Sc 0.0000 0.0000 0.0000 x1
In 0.3333 0.6667 0.6626 x1
Te 0.6667 0.3333 0.2694 x1



23.
Here is a geometry-optimized ScIn2Te2 structure from Alexandria. Energies are from PBE.

Values from the calculation:
Final energy   -37.72 eV/cell
Polymorph energy (0 for the lowest one)   0.221 eV/atom

abc: 5.953 5.953 8.556
angles: 90.00 90.00 90.00
Space group I4/mmm (No. 139)
Unique sites:
Sc 0.000 0.000 0.000 x2
In 0.000 0.000 0.339 x4
Te 0.000 0.500 0.250 x4



24.
Here is a geometry-optimized ScIn4Te structure from Alexandria. Energies are from PBE.

Values from the calculation:
Final energy   -81.24 eV/cell

abc: 8.580 8.580 8.580
angles: 90.00 90.00 90.00
Space group F-43m (No. 216)
Unique sites:
Sc 0.000 0.000 0.000 x4
In 0.126 0.126 0.374 x16
Te 0.250 0.250 0.750 x4



25.
Here is a geometry-optimized ScIn2Te structure from Alexandria. Energies are from PBE.

Values from the calculation:
Final energy   -32.86 eV/cell

abc: 6.036 11.549 4.291
angles: 90.00 134.52 90.00
Space group C2/m (No. 12)
Unique sites:
Sc 0.000 0.000 0.000 x2
In 0.250 0.250 0.500 x4
Te 0.000 0.500 0.000 x2



26.
Here is a geometry-optimized ScIn2Te structure from Alexandria. Energies are from PBE.

Values from the calculation:
Final energy   -32.45 eV/cell

abc: 3.832 5.328 10.122
angles: 90.00 90.00 90.00
Space group Imm2 (No. 44)
Unique sites:
Sc 0.000 0.000 0.000 x2
In 0.000 0.000 0.495 x2
In 0.000 0.500 0.255 x2
Te 0.000 0.500 0.724 x2



27.
Here is a geometry-optimized ScIn2Te structure from Alexandria. Energies are from PBE.

Values from the calculation:
Final energy   -32.25 eV/cell

abc: 4.642 4.642 9.339
angles: 90.00 90.00 90.00
Space group I-4m2 (No. 119)
Unique sites:
Sc 0.000 0.000 0.000 x2
In 0.000 0.000 0.500 x2
In 0.000 0.500 0.250 x2
Te 0.000 0.500 0.750 x2



28.
Here is a geometry-optimized ScIn2Te structure from Alexandria. Energies are from PBE.

Values from the calculation:
Final energy   -62.61 eV/cell

abc: 7.442 7.442 7.442
angles: 90.00 90.00 90.00
Space group F-43m (No. 216)
Unique sites:
Sc 0.000 0.000 0.000 x4
In 0.000 0.000 0.500 x4
In 0.250 0.250 0.750 x4
Te 0.250 0.250 0.250 x4